## RbLa3Te (PBE)

Data for RbLa3Te after structural relaxation.

Lattice parameters (Å, degrees): 6.1954 6.1954 6.1954 90.00 90.00 90.00
Closest atoms and distances in Å follow each position.
Space group Pm-3m (No. 221)
One atom of each set of equivalent atoms:
Rb: 0.0000 0.0000 0.0000 (multiplicity 1)  12 La 4.38
La: 0.0000 0.5000 0.5000 (multiplicity 3)  2 Te 3.10
Te: 0.5000 0.5000 0.5000 (multiplicity 1)  6 La 3.10

ΔE_f (raw), meV/atom: -108
Magnetization, μB/f.u.: 1.9
Relative energy among the computed polymorphs, meV per atom: 0
Crystal system: cubic